# AlC3 | Alexandria | PBE-GGA | relaxed
# Energy above the most stable polymorph in this dataset = 7.65 eV per formula unit
# Energy of formation = 2.69 eV/atom
data_AlC3
_chemical_formula_sum 'Al1 C3'
_cell_length_a 3.217
_cell_length_b 3.217
_cell_length_c 3.217
_cell_angle_alpha 90.00
_cell_angle_beta 90.00
_cell_angle_gamma 90.00
_space_group_name_H-M_alt 'P m -3 m'
_space_group_IT_number 221
_space_group_name_Hall '-P 4 2 3'
loop_
_atom_site_label
_atom_site_type_symbol
_atom_site_fract_x
_atom_site_fract_y
_atom_site_fract_z
Al1 Al 0.000 0.000 0.000
C1 C 0.000 0.500 0.500

=====

# Al5C4 | Alexandria | PBE-GGA | relaxed
# Energy above the most stable polymorph in this dataset = 0.00 eV per formula unit
# Energy of formation = 0.51 eV/atom
data_Al5C4
_chemical_formula_sum 'Al10 C8'
_cell_length_a 6.0901
_cell_length_b 6.0901
_cell_length_c 5.7551
_cell_angle_alpha 90.00
_cell_angle_beta 90.00
_cell_angle_gamma 120.00
_space_group_name_H-M_alt 'P 63/m c m'
_space_group_IT_number 193
_space_group_name_Hall '-P 6c 2'
loop_
_atom_site_label
_atom_site_type_symbol
_atom_site_fract_x
_atom_site_fract_y
_atom_site_fract_z
Al1 Al 0.0000 0.2387 0.2500
Al2 Al 0.3333 0.6667 0.0000
C1 C 0.0000 0.0000 0.0000
C2 C 0.0000 0.4328 0.7500

=====

# AlC | Alexandria | PBE-GGA | relaxed
# Energy above the most stable polymorph in this dataset = 0.92 eV per formula unit
# Energy of formation = 0.69 eV/atom
data_AlC
_chemical_formula_sum 'Al6 C6'
_cell_length_a 7.9281
_cell_length_b 7.9281
_cell_length_c 3.3108
_cell_angle_alpha 90.00
_cell_angle_beta 90.00
_cell_angle_gamma 120.00
_space_group_name_H-M_alt 'P 63/m'
_space_group_IT_number 176
_space_group_name_Hall '-P 6c'
loop_
_atom_site_label
_atom_site_type_symbol
_atom_site_fract_x
_atom_site_fract_y
_atom_site_fract_z
Al1 Al 0.0998 0.6802 0.2500
C1 C 0.0606 0.3974 0.2500

=====

# CaAlC3 | Alexandria | PBE-GGA | relaxed
# Energy above the most stable polymorph in this dataset = 0.00 eV per formula unit
# Energy of formation = 1.47 eV/atom
data_CaAlC3
_chemical_formula_sum 'Ca1 Al1 C3'
_cell_length_a 3.993
_cell_length_b 3.993
_cell_length_c 3.993
_cell_angle_alpha 90.00
_cell_angle_beta 90.00
_cell_angle_gamma 90.00
_space_group_name_H-M_alt 'P m -3 m'
_space_group_IT_number 221
_space_group_name_Hall '-P 4 2 3'
loop_
_atom_site_label
_atom_site_type_symbol
_atom_site_fract_x
_atom_site_fract_y
_atom_site_fract_z
Ca1 Ca 0.000 0.000 0.000
Al1 Al 0.500 0.500 0.500
C1 C 0.000 0.500 0.500

=====

Question: Among the records above, which one has the highest energy of formation?
Answer: AlC3

=====

Question: What is the formula in the second record?
Answer: Al5C4